[1]
# HgBSBr2 PBE relaxed
# - crystal system = tetragonal
# - raw formation energy (eV/atom) = 0.87
# - total DFT energy (no corrections) (eV per atom) = -2.021
data_HgBSBr2
_symmetry_space_group_name_H-M 'P 4/m m m'
_symmetry_Int_Tables_number 123
_symmetry_space_group_name_Hall '-P 4 2'
_cell_length_a 4.9300
_cell_length_b 4.9300
_cell_length_c 4.6093
_cell_angle_alpha 90.00
_cell_angle_beta 90.00
_cell_angle_gamma 90.00
loop_
_atom_site_label
_atom_site_fract_x
_atom_site_fract_y
_atom_site_fract_z
_atom_site_occupancy
Hg1 0.0000 0.0000 0.0000 1
B1 0.0000 0.0000 0.5000 1
S1 0.5000 0.5000 0.0000 1
Br1 0.0000 0.5000 0.5000 1

[2]
# PmAs3 PBE relaxed
# - crystal system = cubic
# - total DFT energy (no corrections) (eV per atom) = -5.196
# - energy of formation (eV per atom) = -0.52
data_PmAs3
_symmetry_space_group_name_H-M 'P m -3 m'
_symmetry_Int_Tables_number 221
_symmetry_space_group_name_Hall '-P 4 2 3'
_cell_length_a 4.4253
_cell_length_b 4.4253
_cell_length_c 4.4253
_cell_angle_alpha 90.00
_cell_angle_beta 90.00
_cell_angle_gamma 90.00
loop_
_atom_site_label
_atom_site_fract_x
_atom_site_fract_y
_atom_site_fract_z
_atom_site_occupancy
Pm1 0.0000 0.0000 0.0000 1
As1 0.0000 0.5000 0.5000 1

[3]
# YErTe2 PBE relaxed
# - crystal system = trigonal
# - raw formation energy (eV/atom) = -1.29
# - total DFT energy (no corrections) (eV per atom) = -5.620
data_YErTe2
_symmetry_space_group_name_H-M 'R 3 m'
_symmetry_Int_Tables_number 160
_symmetry_space_group_name_Hall 'R 3 -2"'
_cell_length_a 4.1965
_cell_length_b 4.1965
_cell_length_c 22.8784
_cell_angle_alpha 90.00
_cell_angle_beta 90.00
_cell_angle_gamma 120.00
loop_
_atom_site_label
_atom_site_fract_x
_atom_site_fract_y
_atom_site_fract_z
_atom_site_occupancy
Y1 0.0000 0.0000 0.0000 1
Er1 0.0000 0.0000 0.1734 1
Te1 0.0000 0.0000 0.5845 1
Te2 0.0000 0.0000 0.7555 1